No. 1
VASP calculation (PBE) on a relaxed structure of CeTmCdPb.

Summary:
Its total moment is 1.14 μB per formula unit. As for the crystal system: cubic. The energy above the most stable polymorph in this dataset is 0.010 eV/f.u. As for the uncorrected energy: -4.059 eV/atom.

Cell: 7.620 7.620 7.620 Å, 90.00 90.00 90.00°
Space group F-43m (No. 216)
Asymmetric unit:
Ce (0.000, 0.000, 0.000) x4
Tm (0.000, 0.000, 0.500) x4
Cd (0.250, 0.250, 0.250) x4
Pb (0.250, 0.250, 0.750) x4

No. 2
VASP calculation (PBE) on a relaxed structure of CeTmCdPb.

Summary:
Its total moment is 1.40 μB per formula unit. As for the crystal system: tetragonal. The energy above the most stable polymorph in this dataset is 0.000 eV/f.u. As for the uncorrected energy: -4.062 eV/atom.

Cell: 4.993 4.993 8.796 Å, 90.00 90.00 90.00°
Space group I-4m2 (No. 119)
Asymmetric unit:
Ce (0.000, 0.000, 0.000) x2
Tm (0.000, 0.000, 0.500) x2
Cd (0.000, 0.500, 0.250) x2
Pb (0.000, 0.500, 0.750) x2

No. 3
VASP calculation (PBE) on a relaxed structure of CeYCdPb.

Summary:
Its total moment is 1.14 μB per formula unit. As for the crystal system: cubic. As for the uncorrected energy: -4.597 eV/atom.

Cell: 7.668 7.668 7.668 Å, 90.00 90.00 90.00°
Space group F-43m (No. 216)
Asymmetric unit:
Ce (0.000, 0.000, 0.000) x4
Y (0.000, 0.000, 0.500) x4
Cd (0.250, 0.250, 0.250) x4
Pb (0.250, 0.250, 0.750) x4

No. 4
VASP calculation (PBE) on a relaxed structure of CeZnCdPb.

Summary:
Its total moment is 0.69 μB per formula unit. As for the crystal system: cubic. As for the uncorrected energy: -3.105 eV/atom.

Cell: 7.353 7.353 7.353 Å, 90.00 90.00 90.00°
Space group F-43m (No. 216)
Asymmetric unit:
Ce (0.000, 0.000, 0.000) x4
Zn (0.250, 0.250, 0.750) x4
Cd (0.000, 0.000, 0.500) x4
Pb (0.250, 0.250, 0.250) x4

No. 5
VASP calculation (PBE) on a relaxed structure of CeZrCdPb.

Summary:
Its total moment is 2.00 μB per formula unit. As for the crystal system: cubic. As for the uncorrected energy: -4.901 eV/atom.

Cell: 7.450 7.450 7.450 Å, 90.00 90.00 90.00°
Space group F-43m (No. 216)
Asymmetric unit:
Ce (0.000, 0.000, 0.000) x4
Zr (0.000, 0.000, 0.500) x4
Cd (0.250, 0.250, 0.750) x4
Pb (0.250, 0.250, 0.250) x4

No. 6
VASP calculation (PBE) on a relaxed structure of Ce2CdPd.

Summary:
Its total moment is 0.00 μB per formula unit. As for the crystal system: tetragonal. The energy above the most stable polymorph in this dataset is 0.236 eV/f.u. As for the uncorrected energy: -4.824 eV/atom.

Cell: 4.466 4.466 4.596 Å, 90.00 90.00 90.00°
Space group P4/mmm (No. 123)
Asymmetric unit:
Ce (0.000, 0.500, 0.000) x2
Cd (0.000, 0.000, 0.500) x1
Pd (0.500, 0.500, 0.500) x1

No. 7
VASP calculation (PBE) on a relaxed structure of Ce2CdPd.

Summary:
Its total moment is 0.01 μB per formula unit. As for the crystal system: trigonal. The energy above the most stable polymorph in this dataset is 1.514 eV/f.u. As for the uncorrected energy: -4.504 eV/atom.

Cell: 3.0469 3.0469 35.0342 Å, 90.00 90.00 120.00°
Space group R-3m (No. 166, hexagonal axes)
Asymmetric unit:
Ce (0.0000, 0.0000, 0.0955) x6
Cd (0.0000, 0.0000, 0.0000) x3
Pd (0.0000, 0.0000, 0.5000) x3

No. 8
VASP calculation (PBE) on a relaxed structure of CeCdPd6.

Summary:
Its total moment is 0.00 μB per formula unit. As for the crystal system: tetragonal. The energy above the most stable polymorph in this dataset is 0.000 eV/f.u. As for the uncorrected energy: -5.319 eV/atom.

Cell: 4.126 4.126 8.069 Å, 90.00 90.00 90.00°
Space group P4/mmm (No. 123)
Asymmetric unit:
Ce (0.000, 0.000, 0.000) x1
Cd (0.000, 0.000, 0.500) x1
Pd (0.000, 0.500, 0.251) x4
Pd (0.500, 0.500, 0.000) x1
Pd (0.500, 0.500, 0.500) x1

No. 9
VASP calculation (PBE) on a relaxed structure of Ce2CdPd5.

Summary:
Its total moment is 1.38 μB per formula unit. As for the crystal system: tetragonal. As for the uncorrected energy: -5.460 eV/atom.

Cell: 6.451 6.451 7.439 Å, 90.00 90.00 90.00°
Space group I4mm (No. 107)
Asymmetric unit:
Ce (0.000, 0.500, 0.000) x4
Cd (0.000, 0.000, 0.407) x2
Pd (0.000, 0.000, 0.025) x2
Pd (0.217, 0.217, 0.740) x8

No. 10
VASP calculation (PBE) on a relaxed structure of CeCd2Pd.

Summary:
Its total moment is 1.27 μB per formula unit. As for the crystal system: tetragonal. As for the uncorrected energy: -3.526 eV/atom.

Cell: 3.349 3.349 7.825 Å, 90.00 90.00 90.00°
Space group P4/mmm (No. 123)
Asymmetric unit:
Ce (0.000, 0.000, 0.000) x1
Cd (0.500, 0.500, 0.301) x2
Pd (0.000, 0.000, 0.500) x1

No. 11
VASP calculation (PBE) on a relaxed structure of CeCd4Pd15.

Summary:
Its total moment is 0.00 μB per formula unit. As for the crystal system: tetragonal. As for the uncorrected energy: -4.738 eV/atom.

Cell: 4.088 4.088 19.981 Å, 90.00 90.00 90.00°
Space group P4/mmm (No. 123)
Asymmetric unit:
Ce (0.000, 0.000, 0.000) x1
Cd (0.000, 0.000, 0.205) x2
Cd (0.000, 0.000, 0.401) x2
Pd (0.000, 0.500, 0.103) x4
Pd (0.000, 0.500, 0.303) x4
Pd (0.000, 0.500, 0.500) x2
Pd (0.500, 0.500, 0.000) x1
Pd (0.500, 0.500, 0.203) x2
Pd (0.500, 0.500, 0.402) x2

No. 12
VASP calculation (PBE) on a relaxed structure of Ce3Cd4Pd4.

Summary:
Its total moment is 2.24 μB per formula unit. As for the crystal system: orthorhombic. The energy above the most stable polymorph in this dataset is 0.000 eV/f.u. As for the uncorrected energy: -4.360 eV/atom.

Cell: 4.035 8.217 15.001 Å, 90.00 90.00 90.00°
Space group Immm (No. 71)
Asymmetric unit:
Ce (0.000, 0.000, 0.000) x2
Ce (0.000, 0.500, 0.118) x4
Cd (0.000, 0.309, 0.329) x8
Pd (0.000, 0.000, 0.240) x4
Pd (0.000, 0.184, 0.500) x4

Number 1: energy of formation -302 meV/atom. Number 2: energy of formation -305 meV/atom. Number 3: energy of formation -342 meV/atom. Number 4: energy of formation -147 meV/atom. Number 5: energy of formation -125 meV/atom. Number 6: energy of formation -330 meV/atom. Number 7: energy of formation -10 meV/atom. Number 8: energy of formation -569 meV/atom. Number 9: energy of formation -617 meV/atom. Number 10: energy of formation -287 meV/atom. Number 11: energy of formation -364 meV/atom. Number 12: energy of formation -520 meV/atom.